Record 1
## Li2AlFe (PBE)

Data for a relaxed Li2AlFe crystal.

## Properties
ΔH_f (0 K) (eV per atom): 0.03

Structure (CIF):
```
data_Li2AlFe
_cell_length_a 2.643
_cell_length_b 3.796
_cell_length_c 5.702
_cell_angle_alpha 90.00
_cell_angle_beta 91.97
_cell_angle_gamma 90.00
_space_group_name_H-M_alt 'P 1 m 1'
_space_group_IT_number 6
_space_group_name_Hall 'P -2y'
loop_
_atom_site_label
_atom_site_type_symbol
_atom_site_fract_x
_atom_site_fract_y
_atom_site_fract_z
Li1 Li 0.000 0.000 0.000
Li2 Li 0.488 0.500 0.258
Al1 Al 0.497 0.500 0.714
Fe1 Fe 0.989 0.000 0.520
```


Record 2
## Li2Al2Fe (PBE)

Data for a relaxed Li2Al2Fe crystal.

## Properties
ΔH_f (0 K) (eV per atom): 0.26

Structure (CIF):
```
data_Li2Al2Fe
_cell_length_a 6.800
_cell_length_b 6.800
_cell_length_c 2.944
_cell_angle_alpha 90.00
_cell_angle_beta 90.00
_cell_angle_gamma 90.00
_space_group_name_H-M_alt 'P 4/m b m'
_space_group_IT_number 127
_space_group_name_Hall '-P 4 2ab'
loop_
_atom_site_label
_atom_site_type_symbol
_atom_site_fract_x
_atom_site_fract_y
_atom_site_fract_z
Li1 Li 0.153 0.347 0.000
Al1 Al 0.150 0.650 0.500
Fe1 Fe 0.000 0.000 0.500
```


Record 3
## Li2AlFe (PBE)

Data for a relaxed Li2AlFe crystal.

## Properties
ΔH_f (0 K) (eV per atom): 0.48

Structure (CIF):
```
data_Li2AlFe
_cell_length_a 6.753
_cell_length_b 6.753
_cell_length_c 4.824
_cell_angle_alpha 90.00
_cell_angle_beta 90.00
_cell_angle_gamma 90.00
_space_group_name_H-M_alt 'I -4 2 d'
_space_group_IT_number 122
_space_group_name_Hall 'I -4 2bw'
loop_
_atom_site_label
_atom_site_type_symbol
_atom_site_fract_x
_atom_site_fract_y
_atom_site_fract_z
Li1 Li 0.237 0.750 0.125
Al1 Al 0.000 0.000 0.500
Fe1 Fe 0.000 0.000 0.000
```


Record 4
## LiAl2Fe (PBE)

Data for a relaxed LiAl2Fe crystal.

## Properties
ΔH_f (0 K) (eV per atom): 0.00

Structure (CIF):
```
data_LiAl2Fe
_cell_length_a 2.700
_cell_length_b 2.700
_cell_length_c 8.108
_cell_angle_alpha 90.00
_cell_angle_beta 90.00
_cell_angle_gamma 90.00
_space_group_name_H-M_alt 'P 4 m m'
_space_group_IT_number 99
_space_group_name_Hall 'P 4 -2'
loop_
_atom_site_label
_atom_site_type_symbol
_atom_site_fract_x
_atom_site_fract_y
_atom_site_fract_z
Li1 Li 0.000 0.000 0.000
Al1 Al 0.000 0.000 0.532
Al2 Al 0.500 0.500 0.272
Fe1 Fe 0.500 0.500 0.744
```


Record 5
## LiAlFe2 (PBE)

Data for a relaxed LiAlFe2 crystal.

## Properties
ΔH_f (0 K) (eV per atom): 0.03

Structure (CIF):
```
data_LiAlFe2
_cell_length_a 2.538
_cell_length_b 3.793
_cell_length_c 5.291
_cell_angle_alpha 90.00
_cell_angle_beta 90.00
_cell_angle_gamma 90.00
_space_group_name_H-M_alt 'P m m 2'
_space_group_IT_number 25
_space_group_name_Hall 'P 2 -2'
loop_
_atom_site_label
_atom_site_type_symbol
_atom_site_fract_x
_atom_site_fract_y
_atom_site_fract_z
Li1 Li 0.000 0.000 0.000
Al1 Al 0.500 0.500 0.269
Fe1 Fe 0.000 0.000 0.512
Fe2 Fe 0.500 0.500 0.747
```


Record 6
## LiLuAlFe (PBE)

Data for a relaxed LiLuAlFe crystal.

## Properties
ΔH_f (0 K) (eV per atom): -0.07

Structure (CIF):
```
data_LiLuAlFe
_cell_length_a 6.321
_cell_length_b 6.321
_cell_length_c 6.321
_cell_angle_alpha 90.00
_cell_angle_beta 90.00
_cell_angle_gamma 90.00
_space_group_name_H-M_alt 'F -4 3 m'
_space_group_IT_number 216
_space_group_name_Hall 'F -4 2 3'
loop_
_atom_site_label
_atom_site_type_symbol
_atom_site_fract_x
_atom_site_fract_y
_atom_site_fract_z
Li1 Li 0.000 0.000 0.000
Lu1 Lu 0.250 0.250 0.750
Al1 Al 0.250 0.250 0.250
Fe1 Fe 0.000 0.000 0.500
```


Record 7
## LiMnAlFe2 (PBE)

Data for a relaxed LiMnAlFe2 crystal.

## Properties
ΔH_f (0 K) (eV per atom): 0.77

Structure (CIF):
```
data_LiMnAlFe2
_cell_length_a 4.241
_cell_length_b 4.241
_cell_length_c 4.553
_cell_angle_alpha 90.00
_cell_angle_beta 90.00
_cell_angle_gamma 90.00
_space_group_name_H-M_alt 'P 4/m m m'
_space_group_IT_number 123
_space_group_name_Hall '-P 4 2'
loop_
_atom_site_label
_atom_site_type_symbol
_atom_site_fract_x
_atom_site_fract_y
_atom_site_fract_z
Li1 Li 0.000 0.000 0.000
Mn1 Mn 0.500 0.500 0.500
Al1 Al 0.500 0.500 0.000
Fe1 Fe 0.000 0.500 0.500
```


Record 8
## Li2AlFeN (PBE)

Data for a relaxed Li2AlFeN crystal.

## Properties
Formation energy from raw total energies (eV per atom): 0.3693

Structure (CIF):
```
data_Li2AlFeN
_cell_length_a 4.802
_cell_length_b 4.802
_cell_length_c 3.432
_cell_angle_alpha 90.00
_cell_angle_beta 90.00
_cell_angle_gamma 90.00
_space_group_name_H-M_alt 'P 4/m m m'
_space_group_IT_number 123
_space_group_name_Hall '-P 4 2'
loop_
_atom_site_label
_atom_site_type_symbol
_atom_site_fract_x
_atom_site_fract_y
_atom_site_fract_z
Li1 Li 0.000 0.500 0.000
Al1 Al 0.000 0.000 0.500
Fe1 Fe 0.500 0.500 0.000
N1 N 0.500 0.500 0.500
```


In order of appearance, uncorrected energy = -15.9, -37.0, -56.4, -17.8, -22.5, -75.6, -27.9, -22.5 eV for the cell shown.
In order of appearance, total magnetization = 2.1, 0.0, 0.0, 2.3, 4.5, 1.2, 3.4, 0.9 μB per cell.